[1]
DFT (PBE) results for an optimized crystal structure of LiIrOs.

Structure (POSCAR):
```
LiIrOs
1.0
5.421 0.000 0.000
3.977 3.684 0.000
-4.699 -1.842 1.979
Os Ir Li
1 1 1
Direct
0.668 0.668 0.000
0.997 0.997 0.000
0.336 0.336 0.000
```

Summary:
**Total DFT energy (no corrections)**: -7.175 eV/atom
**ΔH_f (0 K)**: 160 meV per atom
**Calculated density**: 16.36 Mg/m³
**ΔE to the lowest computed polymorph**: 186 meV per atom
**V**: 13.17 Å³/atom

[2]
DFT (PBE) results for an optimized crystal structure of AsIrSe.

Structure (POSCAR):
```
AsIrSe
1.0
-7.736 -0.515 -3.391
-8.085 -1.264 -0.609
-0.610 2.693 -0.889
Se Ir As
1 1 1
Direct
0.303 0.303 0.697
0.663 0.663 0.337
0.034 0.034 0.966
```

Summary:
**Total DFT energy (no corrections)**: -5.397 eV/atom
**Calculated density**: 9.81 Mg/m³
**V**: 19.52 Å³/atom

[3]
DFT (PBE) results for an optimized crystal structure of LaGe4Pd3.

Structure (POSCAR):
```
LaGe4Pd3
1.0
4.624 0.000 0.000
0.000 4.624 0.000
0.000 0.000 7.300
Ge Pd La
4 3 1
Direct
0.500 0.000 0.819
0.000 0.500 0.181
0.500 0.000 0.181
0.000 0.500 0.819
0.000 0.000 0.000
0.500 0.500 0.315
0.500 0.500 0.685
0.000 0.000 0.500
```

Summary:
**Total DFT energy (no corrections)**: -5.414 eV/atom
**ΔH_f (0 K)**: -542 meV per atom
**Calculated density**: 7.96 Mg/m³
**V**: 19.51 Å³/atom

[4]
DFT (PBE) results for an optimized crystal structure of CrSiMoIr.

Structure (POSCAR):
```
CrSiMoIr
1.0
4.253 0.000 0.000
2.127 3.683 0.000
2.127 1.228 3.473
Ir Mo Si Cr
1 1 1 1
Direct
0.500 0.500 0.500
0.000 0.000 0.000
0.750 0.750 0.750
0.250 0.250 0.250
```

Summary:
**Total DFT energy (no corrections)**: -8.940 eV/atom
**Calculated density**: 11.24 Mg/m³
**V**: 13.60 Å³/atom

Q: calculated density of number 3 (LaGe4Pd3)?
A: 7.96 Mg/m³

Q: The lowest V belongs to which entry?
A: LiIrOs

Q: Look up the total DFT energy (no corrections) of the fourth one.
A: -8.940 eV/atom

Q: The highest total DFT energy (no corrections) belongs to which entry?
A: AsIrSe